No. 1
Material: AgW
Method: DFT, PBE-GGA
State: optimized geometry

Lattice parameters (Å, degrees): 4.3318 4.3318 4.9258 90.00 90.00 120.00
Fractional positions:
Ag  0.3333  0.6667  0.2500
Ag  0.6667  0.3333  0.7500
W  0.0000  0.0000  0.0000
W  0.0000  0.0000  0.5000

ΔE_f: 1.495 eV per atom

No. 2
Material: Au3Cl2
Method: DFT, PBE-GGA
State: optimized geometry

Lattice parameters (Å, degrees): 6.8656 6.5674 7.2586 59.30 55.33 65.37
Fractional positions:
Au  0.0000  0.0000  0.0000
Au  0.1379  0.4156  0.6154
Au  0.2500  0.2500  0.2500
Au  0.4156  0.1379  0.8311
Au  0.4189  0.6346  0.8344
Au  0.6346  0.4189  0.1121
Cl  0.2444  0.8089  0.5602
Cl  0.6898  0.8636  0.0056
Cl  0.8089  0.2444  0.3864
Cl  0.8636  0.6898  0.4411

formation energy without anion corrections: 0.076 eV per atom

What did the second record say?
Material: Au3Cl2
Method: DFT, PBE-GGA
State: optimized geometry

Lattice parameters (Å, degrees): 6.8656 6.5674 7.2586 59.30 55.33 65.37
Fractional positions:
Au  0.0000  0.0000  0.0000
Au  0.1379  0.4156  0.6154
Au  0.2500  0.2500  0.2500
Au  0.4156  0.1379  0.8311
Au  0.4189  0.6346  0.8344
Au  0.6346  0.4189  0.1121
Cl  0.2444  0.8089  0.5602
Cl  0.6898  0.8636  0.0056
Cl  0.8089  0.2444  0.3864
Cl  0.8636  0.6898  0.4411

formation energy without anion corrections: 0.076 eV per atom